VASP calculation (PBE-GGA) on a geometry-optimized Sm4Pb2O structure.

The structure in POSCAR format:
```
Sm4Pb2O
1.0
-6.2456 -1.9971 -0.5766
2.1581 -6.4186 -1.1453
2.8205 -0.6578 9.0011
Sm Pb O
8 4 2
Direct
0.5361 0.4984 0.2967
0.1534 0.7500 0.9548
0.8466 0.2500 0.0452
0.5361 0.0016 0.2967
0.9320 0.2500 0.6612
0.4639 0.9984 0.7033
0.4639 0.5016 0.7033
0.0680 0.7500 0.3388
0.6938 0.7500 0.0257
0.3062 0.2500 0.9743
0.1534 0.2500 0.3992
0.8466 0.7500 0.6008
0.3043 0.7500 0.2113
0.6957 0.2500 0.7887
```

## Properties
**Excess energy over the best structure of this formula in the dataset**: 0 meV per atom
**Calculated volume**: 28.7 A^3/atom

VASP calculation (PBE-GGA) on a geometry-optimized Sm4SnPbO structure.

The structure in POSCAR format:
```
Sm4SnPbO
1.0
-5.5335 0.2613 -3.5743
0.1894 -6.5511 -0.7723
-1.9915 -1.1281 9.0807
Sm Sn Pb O
8 2 2 2
Direct
0.9315 0.2500 0.8629
0.4193 0.7500 0.8386
0.0685 0.7500 0.1371
0.5807 0.2500 0.1614
0.5000 0.5000 0.5000
0.0000 0.0000 0.5000
0.5000 0.0000 0.5000
0.0000 0.5000 0.5000
0.1131 0.2500 0.2261
0.8869 0.7500 0.7739
0.6085 0.7500 0.2170
0.3915 0.2500 0.7830
0.2778 0.7500 0.5555
0.7222 0.2500 0.4445
```

## Properties
**Calculated volume**: 27.2 A^3/atom

VASP calculation (PBE-GGA) on a geometry-optimized Sr2SmPbO5 structure.

The structure in POSCAR format:
```
Sr2SmPbO5
1.0
-1.4026 1.5391 -2.9358
-4.8928 -5.6254 1.5949
-6.3315 7.4759 6.9442
Sr Sm Pb O
4 2 2 10
Direct
0.8682 0.7363 0.7391
0.1296 0.2593 0.7204
0.1318 0.2637 0.2391
0.8704 0.7407 0.2204
0.7607 0.5213 0.4965
0.2393 0.4787 0.9965
0.5066 0.0132 0.9741
0.4934 0.9868 0.4741
0.3814 0.7628 0.0730
0.7313 0.4626 0.8671
0.4857 0.9714 0.7913
0.2790 0.5581 0.6301
0.9205 0.8411 0.5324
0.6186 0.2372 0.5730
0.2687 0.5374 0.3671
0.5143 0.0286 0.2913
0.7210 0.4419 0.1301
0.0795 0.1589 0.0324
```

## Properties
**Calculated volume**: 17.8 A^3/atom

VASP calculation (PBE-GGA) on a geometry-optimized SrSm2PbO6 structure.

The structure in POSCAR format:
```
SrSm2PbO6
1.0
6.0023 0.0001 0.0003
3.0012 5.1981 0.0001
3.0010 1.7329 5.2406
Sr Sm Pb O
1 2 1 6
Direct
0.7992 0.7992 0.6025
0.5257 0.5257 0.4228
0.0223 0.0223 0.9332
0.3145 0.3145 0.0565
0.6003 0.2223 0.2418
0.2224 0.9356 0.2418
0.9356 0.6003 0.2418
0.3882 0.7026 0.7582
0.7026 0.1509 0.7582
0.1509 0.3882 0.7582
```

## Properties
**Calculated volume**: 16.4 A^3/atom

VASP calculation (PBE-GGA) on a geometry-optimized Sr2Sm4Pb3O2 structure.

The structure in POSCAR format:
```
Sr2Sm4Pb3O2
1.0
-1.5555 4.5967 -0.5978
-3.3327 -0.6708 3.5141
11.1111 2.1407 7.5447
Sr Sm Pb O
2 4 3 2
Direct
0.3037 0.3037 0.6074
0.6963 0.6963 0.3926
0.4159 0.9159 0.8319
0.9159 0.4159 0.8319
0.0841 0.5841 0.1681
0.5841 0.0841 0.1681
0.0000 0.0000 0.0000
0.1699 0.1699 0.3397
0.8301 0.8301 0.6603
0.4063 0.4063 0.8127
0.5937 0.5937 0.1873
```

## Properties
**Calculated volume**: 28.6 A^3/atom

VASP calculation (PBE-GGA) on a geometry-optimized TbSmPbO2 structure.

The structure in POSCAR format:
```
TbSmPbO2
1.0
-0.4707 -2.3474 -3.0802
1.2826 -3.0222 2.1072
-7.1301 1.2892 2.5776
Tb Sm Pb O
1 1 1 2
Direct
0.1709 0.1709 0.3418
0.8314 0.8314 0.6629
0.5016 0.5016 0.0031
0.7480 0.2480 0.4961
0.2480 0.7480 0.4961
```

## Properties
**Calculated volume**: 21.9 A^3/atom

VASP calculation (PBE-GGA) on a geometry-optimized Tb4Sm2Pb3O2 structure.

The structure in POSCAR format:
```
Tb4Sm2Pb3O2
1.0
4.7016 0.0000 0.0000
0.0000 4.7016 0.0000
-2.3508 -2.3508 12.8546
Tb Sm Pb O
4 2 3 2
Direct
0.4170 0.9170 0.8339
0.9170 0.4170 0.8339
0.0830 0.5830 0.1661
0.5830 0.0830 0.1661
0.3063 0.3063 0.6126
0.6937 0.6937 0.3874
0.0000 0.0000 0.0000
0.1779 0.1779 0.3558
0.8221 0.8221 0.6442
0.4031 0.4031 0.8062
0.5969 0.5969 0.1938
```

## Properties
**Calculated volume**: 25.8 A^3/atom

VASP calculation (PBE-GGA) on a geometry-optimized Tb2Sm4Pb3O2 structure.

The structure in POSCAR format:
```
Tb2Sm4Pb3O2
1.0
-4.3579 0.4222 -1.9009
-0.4686 -4.7501 0.0194
-2.6683 2.7134 12.7128
Tb Sm Pb O
2 4 3 2
Direct
0.3070 0.3070 0.6140
0.6930 0.6930 0.3860
0.4160 0.9160 0.8320
0.9160 0.4160 0.8320
0.0840 0.5840 0.1680
0.5840 0.0840 0.1680
0.0000 0.0000 0.0000
0.1809 0.1809 0.3618
0.8191 0.8191 0.6382
0.3966 0.3966 0.7932
0.6034 0.6034 0.2068
```

## Properties
**Calculated volume**: 26.6 A^3/atom

VASP calculation (PBE-GGA) on a geometry-optimized Sm2TcPbO8 structure.

The structure in POSCAR format:
```
Sm2TcPbO8
1.0
-0.1391 3.1332 -4.0095
-1.8214 -3.8589 -2.7761
-6.5139 1.8641 1.6809
Sm Tc Pb O
2 1 1 8
Direct
0.4996 0.4996 0.7553
0.5004 0.5004 0.2447
0.0000 0.0000 0.0000
0.0000 0.0000 0.5000
0.1790 0.8204 0.2043
0.7328 0.7328 0.9996
0.8204 0.1790 0.2043
0.8210 0.1796 0.7957
0.2672 0.2672 0.0004
0.1796 0.8210 0.7957
0.6951 0.6949 0.5002
0.3049 0.3051 0.4998
```

## Properties
**Calculated volume**: 15.1 A^3/atom

VASP calculation (PBE-GGA) on a geometry-optimized SmTc2PbO8 structure.

The structure in POSCAR format:
```
SmTc2PbO8
1.0
6.0136 0.0000 0.0000
-3.0068 5.2079 0.0000
0.0000 0.0000 7.2024
Sm Tc Pb O
1 2 1 8
Direct
0.0000 0.0000 0.5000
0.6667 0.3333 0.2070
0.3333 0.6667 0.7930
0.0000 0.0000 0.0000
0.3333 0.6667 0.0371
0.3312 0.1656 0.2839
0.8344 0.1656 0.2839
0.6667 0.3333 0.9629
0.1656 0.8344 0.7161
0.6688 0.8344 0.7161
0.1656 0.3312 0.7161
0.8344 0.6688 0.2839
```

## Properties
**Calculated volume**: 18.8 A^3/atom

VASP calculation (PBE-GGA) on a geometry-optimized SmTe2PbO8 structure.

The structure in POSCAR format:
```
SmTe2PbO8
1.0
6.1154 0.0000 0.0000
-3.0577 5.2961 0.0000
0.0000 0.0000 7.3294
Sm Te Pb O
1 2 1 8
Direct
0.0000 0.0000 0.5000
0.6667 0.3333 0.2104
0.3333 0.6667 0.7896
0.0000 0.0000 0.0000
0.3333 0.6667 0.0392
0.3217 0.1608 0.2847
0.8392 0.1609 0.2847
0.6667 0.3333 0.9608
0.1608 0.8391 0.7153
0.6783 0.8392 0.7153
0.1609 0.3217 0.7153
0.8391 0.6783 0.2847
```

## Properties
**Calculated volume**: 19.8 A^3/atom

VASP calculation (PBE-GGA) on a geometry-optimized SmTePbO6 structure.

The structure in POSCAR format:
```
SmTePbO6
1.0
5.7832 0.0000 0.0000
-2.8916 5.0084 0.0000
0.0000 0.0000 9.4452
Sm Te Pb O
2 2 2 12
Direct
0.3333 0.6667 0.2500
0.6667 0.3333 0.7500
0.6667 0.3333 0.2500
0.3333 0.6667 0.7500
0.0000 0.0000 0.0000
0.0000 0.0000 0.5000
0.6630 0.6145 0.1352
0.9515 0.3370 0.1352
0.3370 0.9515 0.6352
0.0485 0.6630 0.8648
0.3855 0.3370 0.3648
0.9515 0.6145 0.3648
0.6145 0.9515 0.8648
0.6630 0.0485 0.3648
0.0485 0.3855 0.6352
0.3855 0.0485 0.1352
0.6145 0.6630 0.6352
0.3370 0.3855 0.8648
```

## Properties
**Calculated volume**: 15.2 A^3/atom

Quick rundown of energy relative to the elements, uncorrected, same order as above: -1.1695 -1.2290 -2.3743 -2.5320 -1.4001 -2.5152 -1.4020 -1.3698 -2.0415 -1.6797 -1.3581 -1.6114 eV/atom